1.
Material: AgC3
Method: DFT, GGA-PBE
State: optimized geometry

Structure (CIF):
```
data_AgC3
_cell_length_a 2.448
_cell_length_b 6.133
_cell_length_c 7.989
_cell_angle_alpha 90.00
_cell_angle_beta 90.00
_cell_angle_gamma 90.00
_space_group_name_H-M_alt 'I m m m'
_space_group_IT_number 71
_space_group_name_Hall '-I 2 2'
loop_
_atom_site_label
_atom_site_type_symbol
_atom_site_fract_x
_atom_site_fract_y
_atom_site_fract_z
Ag1 Ag 0.000 0.000 0.000
C1 C 0.000 0.152 0.500
C2 C 0.000 0.500 0.000
```

Properties
Formation energy in eV per atom: 2.028
Excess energy over the best structure of this formula in the dataset in eV per atom: 1.069

***

2.
Material: MnZnCu5
Method: DFT, GGA-PBE
State: optimized geometry

Structure (CIF):
```
data_MnZnCu5
_cell_length_a 8.292
_cell_length_b 9.654
_cell_length_c 5.031
_cell_angle_alpha 90.00
_cell_angle_beta 109.96
_cell_angle_gamma 90.00
_space_group_name_H-M_alt 'C 1 2/c 1'
_space_group_IT_number 15
_space_group_name_Hall '-C 2yc'
loop_
_atom_site_label
_atom_site_type_symbol
_atom_site_fract_x
_atom_site_fract_y
_atom_site_fract_z
Mn1 Mn 0.000 0.146 0.250
Zn1 Zn 0.250 0.250 0.000
Cu1 Cu 0.000 0.114 0.750
Cu2 Cu 0.016 0.372 0.512
Cu3 Cu 0.250 0.013 0.637
```

Properties
Formation energy in eV per atom: 0.145

***

3.
Material: KTlCl2
Method: DFT, GGA-PBE
State: optimized geometry

Structure (CIF):
```
data_KTlCl2
_cell_length_a 4.838
_cell_length_b 4.233
_cell_length_c 12.464
_cell_angle_alpha 90.00
_cell_angle_beta 90.00
_cell_angle_gamma 90.00
_space_group_name_H-M_alt 'A m m 2'
_space_group_IT_number 38
_space_group_name_Hall 'A 2 -2'
loop_
_atom_site_label
_atom_site_type_symbol
_atom_site_fract_x
_atom_site_fract_y
_atom_site_fract_z
K1 K 0.000 0.000 0.000
Tl1 Tl 0.500 0.000 0.755
Cl1 Cl 0.000 0.000 0.255
Cl2 Cl 0.500 0.000 0.516
```

Properties
Energy relative to the elements, uncorrected in kJ/mol of formula units: -560
Excess energy over the best structure of this formula in the dataset in eV per atom: 0.039

***

4.
Material: Ba12IrAu6
Method: DFT, GGA-PBE
State: optimized geometry

Structure (CIF):
```
data_Ba12IrAu6
_cell_length_a 14.5599
_cell_length_b 14.5599
_cell_length_c 13.7864
_cell_angle_alpha 90.00
_cell_angle_beta 90.00
_cell_angle_gamma 120.00
_space_group_name_H-M_alt 'R -3'
_space_group_IT_number 148
_space_group_name_Hall '-R 3'
loop_
_atom_site_label
_atom_site_type_symbol
_atom_site_fract_x
_atom_site_fract_y
_atom_site_fract_z
Ba1 Ba 0.0266 0.2159 0.3942
Ba2 Ba 0.0394 0.1944 0.8818
Ir1 Ir 0.0000 0.0000 0.0000
Au1 Au 0.0437 0.2650 0.6438
```

Properties
Formation energy in eV per atom: -0.502

***

no.,M_tot (μB per formula unit),E (Ha/atom)
1,0.000,-0.2059
2,4.086,-0.1570
3,0.000,-0.1191
4,0.000,-0.1183